Record 1
HfSi2W meta-GGA SCAN single point on PBEsol structure; D(E_F) = 2.71 states/eV/f.u.; electronic total energy = -37.764 eV/atom; E_form (uncorrected) = 0.334 eV per atom; SG = No. 122; total magnetic moment = 0.00 μB/f.u.; volume = 17.003 A^3/atom
1.0
-1.922 1.922 9.208
1.922 -1.922 9.208
1.922 1.922 -9.208
Hf Si W
2 4 2
Direct
0.000 0.000 0.000 Hf
0.750 0.250 0.500 Hf
0.151 0.625 0.026 Si
0.375 0.401 0.526 Si
0.599 0.125 0.974 Si
0.875 0.849 0.474 Si
0.250 0.750 0.500 W
0.500 0.500 0.000 W

Record 2
HfSi3W meta-GGA SCAN single point on PBEsol structure; D(E_F) = 2.78 states/eV/f.u.; electronic total energy = -31.595 eV/atom; E_form (uncorrected) = 0.887 eV per atom; SG = No. 221; total magnetic moment = 0.00 μB/f.u.; volume = 19.806 A^3/atom
1.0
4.627 0.000 0.000
0.000 4.627 0.000
0.000 0.000 4.627
Hf Si W
1 3 1
Direct
0.000 0.000 0.000 Hf
0.000 0.500 0.500 Si
0.500 0.000 0.500 Si
0.500 0.500 0.000 Si
0.500 0.500 0.500 W

Record 3
HfSiW meta-GGA SCAN single point on PBEsol structure; D(E_F) = 1.07 states/eV/f.u.; electronic total energy = -48.073 eV/atom; E_form (uncorrected) = -0.614 eV per atom; SG = No. 62; total magnetic moment = 0.00 μB/f.u.; volume = 16.174 A^3/atom
1.0
6.884 0.000 0.000
0.000 3.470 0.000
0.000 0.000 8.125
Hf Si W
4 4 4
Direct
0.042 0.250 0.166 Hf
0.458 0.750 0.666 Hf
0.542 0.250 0.334 Hf
0.958 0.750 0.834 Hf
0.244 0.750 0.360 Si
0.256 0.250 0.860 Si
0.744 0.750 0.140 Si
0.756 0.250 0.640 Si
0.133 0.250 0.561 W
0.367 0.750 0.061 W
0.633 0.250 0.939 W
0.867 0.750 0.439 W